## ZnCoP2Cl (SCAN)

Data for a PBEsol-optimized structure of ZnCoP2Cl.

Cell lengths 4.483, 4.483, 4.857 Å; angles 90.00, 90.00, 90.00 degrees
Space group P4/mmm (No. 123)
Unique sites:
Zn 0.000 0.000 0.000
Co 0.500 0.500 0.500
P 0.000 0.500 0.000
Cl 0.000 0.000 0.500

Output
* raw total energy: -10.992 eV per atom
* formation energy without anion corrections: 0.93 eV/atom